No. 1
# LuAlCd2 (GGA-PBE, optimized geometry)
data_LuAlCd2
_symmetry_space_group_name_H-M 'P 1'
_symmetry_Int_Tables_number 1
_cell_length_a 4.937
_cell_length_b 4.937
_cell_length_c 4.937
_cell_angle_alpha 60.00
_cell_angle_beta 60.00
_cell_angle_gamma 60.00
loop_
_symmetry_equiv_pos_as_xyz
'x,y,z'
loop_
_atom_site_label
_atom_site_type_symbol
_atom_site_fract_x
_atom_site_fract_y
_atom_site_fract_z
Al1 Al 0.500 0.500 0.500
Cd1 Cd 0.000 0.000 0.000
Cd2 Cd 0.750 0.750 0.750
Lu1 Lu 0.250 0.250 0.250
# **Calculated volume**: 85 Å³/f.u.
# **Calculated total energy**: -2.6535 eV per atom
# **Crystal system**: cubic


No. 2
# Gd3Mg3InIr2 (GGA-PBE, optimized geometry)
data_Gd3Mg3InIr2
_symmetry_space_group_name_H-M 'P 1'
_symmetry_Int_Tables_number 1
_cell_length_a 7.440
_cell_length_b 7.440
_cell_length_c 4.218
_cell_angle_alpha 90.00
_cell_angle_beta 90.00
_cell_angle_gamma 120.00
loop_
_symmetry_equiv_pos_as_xyz
'x,y,z'
loop_
_atom_site_label
_atom_site_type_symbol
_atom_site_fract_x
_atom_site_fract_y
_atom_site_fract_z
Gd1 Gd 0.427 0.000 0.000
Gd2 Gd 0.000 0.427 0.000
Gd3 Gd 0.573 0.573 0.000
In1 In 0.000 0.000 0.000
Ir1 Ir 0.667 0.333 0.500
Ir2 Ir 0.333 0.667 0.500
Mg1 Mg 0.740 0.000 0.500
Mg2 Mg 0.260 0.260 0.500
Mg3 Mg 0.000 0.740 0.500
# **Calculated volume**: 202 Å³/f.u.
# **Calculated total energy**: -4.8380 eV per atom
# **Crystal system**: hexagonal


No. 3
# Li6NiAu (GGA-PBE, optimized geometry)
data_Li6NiAu
_symmetry_space_group_name_H-M 'P 1'
_symmetry_Int_Tables_number 1
_cell_length_a 4.288
_cell_length_b 4.288
_cell_length_c 6.077
_cell_angle_alpha 90.00
_cell_angle_beta 90.00
_cell_angle_gamma 90.00
loop_
_symmetry_equiv_pos_as_xyz
'x,y,z'
loop_
_atom_site_label
_atom_site_type_symbol
_atom_site_fract_x
_atom_site_fract_y
_atom_site_fract_z
Au1 Au 0.500 0.500 0.500
Li1 Li 0.500 0.500 0.000
Li2 Li 0.500 0.000 0.240
Li3 Li 0.000 0.500 0.240
Li4 Li 0.000 0.000 0.500
Li5 Li 0.500 0.000 0.760
Li6 Li 0.000 0.500 0.760
Ni1 Ni 0.000 0.000 0.000
# **Calculated volume**: 112 Å³/f.u.
# **Calculated total energy**: -2.6923 eV per atom
# **Crystal system**: tetragonal


No. 4
# Ni5W8 (GGA-PBE, optimized geometry)
data_Ni5W8
_symmetry_space_group_name_H-M 'P 1'
_symmetry_Int_Tables_number 1
_cell_length_a 9.158
_cell_length_b 9.158
_cell_length_c 9.158
_cell_angle_alpha 32.68
_cell_angle_beta 32.68
_cell_angle_gamma 32.68
loop_
_symmetry_equiv_pos_as_xyz
'x,y,z'
loop_
_atom_site_label
_atom_site_type_symbol
_atom_site_fract_x
_atom_site_fract_y
_atom_site_fract_z
Ni1 Ni 0.000 0.000 0.000
Ni2 Ni 0.166 0.166 0.166
Ni3 Ni 0.349 0.349 0.349
Ni4 Ni 0.651 0.651 0.651
Ni5 Ni 0.834 0.834 0.834
W1 W 0.588 0.092 0.092
W2 W 0.092 0.588 0.092
W3 W 0.908 0.908 0.412
W4 W 0.452 0.452 0.452
W5 W 0.548 0.548 0.548
W6 W 0.092 0.092 0.588
W7 W 0.908 0.412 0.908
W8 W 0.412 0.908 0.908
# **Calculated volume**: 199 Å³/f.u.
# **Excess energy over the best structure of this formula in the dataset**: 187 meV per atom
# **Energy of formation from the pure elements**: 0.51 eV per atom
# **Crystal system**: trigonal


No. 5
# LiBeSiAu (GGA-PBE, optimized geometry)
data_LiBeSiAu
_symmetry_space_group_name_H-M 'P 1'
_symmetry_Int_Tables_number 1
_cell_length_a 4.199
_cell_length_b 4.199
_cell_length_c 4.199
_cell_angle_alpha 60.00
_cell_angle_beta 60.00
_cell_angle_gamma 60.00
loop_
_symmetry_equiv_pos_as_xyz
'x,y,z'
loop_
_atom_site_label
_atom_site_type_symbol
_atom_site_fract_x
_atom_site_fract_y
_atom_site_fract_z
Au1 Au 0.750 0.750 0.750
Be1 Be 0.500 0.500 0.500
Li1 Li 0.250 0.250 0.250
Si1 Si 0.000 0.000 0.000
# **Calculated volume**: 52 Å³/f.u.
# **Excess energy over the best structure of this formula in the dataset**: 0 meV per atom
# **Crystal system**: cubic


No. 6
# PrGd2Al3AgPt2 (GGA-PBE, optimized geometry)
data_PrGd2Al3AgPt2
_symmetry_space_group_name_H-M 'P 1'
_symmetry_Int_Tables_number 1
_cell_length_a 4.172
_cell_length_b 7.266
_cell_length_c 7.266
_cell_angle_alpha 120.16
_cell_angle_beta 90.00
_cell_angle_gamma 90.00
loop_
_symmetry_equiv_pos_as_xyz
'x,y,z'
loop_
_atom_site_label
_atom_site_type_symbol
_atom_site_fract_x
_atom_site_fract_y
_atom_site_fract_z
Ag1 Ag 0.000 0.994 0.994
Al1 Al 0.500 0.997 0.246
Al2 Al 0.500 0.755 0.755
Al3 Al 0.500 0.246 0.997
Gd1 Gd 0.000 0.581 0.002
Gd2 Gd 0.000 0.002 0.581
Pr1 Pr 0.000 0.420 0.420
Pt1 Pt 0.500 0.673 0.331
Pt2 Pt 0.500 0.331 0.673
# **Calculated volume**: 190 Å³/f.u.
# **Calculated total energy**: -5.3008 eV per atom
# **Crystal system**: orthorhombic


No. 7
# Li2Cd2GaSnPd2 (GGA-PBE, optimized geometry)
data_Li2Cd2GaSnPd2
_symmetry_space_group_name_H-M 'P 1'
_symmetry_Int_Tables_number 1
_cell_length_a 4.562
_cell_length_b 4.562
_cell_length_c 6.495
_cell_angle_alpha 90.00
_cell_angle_beta 90.00
_cell_angle_gamma 90.00
loop_
_symmetry_equiv_pos_as_xyz
'x,y,z'
loop_
_atom_site_label
_atom_site_type_symbol
_atom_site_fract_x
_atom_site_fract_y
_atom_site_fract_z
Cd1 Cd 0.500 0.500 0.000
Cd2 Cd 0.000 0.000 0.500
Ga1 Ga 0.000 0.000 0.000
Li1 Li 0.500 0.000 0.234
Li2 Li 0.000 0.500 0.766
Pd1 Pd 0.000 0.500 0.238
Pd2 Pd 0.500 0.000 0.762
Sn1 Sn 0.500 0.500 0.500
# **Calculated volume**: 135 Å³/f.u.
# **Calculated total energy**: -3.3245 eV per atom
# **Crystal system**: tetragonal


No. 8
# RbNdCdTe3 (GGA-PBE, optimized geometry)
data_RbNdCdTe3
_symmetry_space_group_name_H-M 'P 1'
_symmetry_Int_Tables_number 1
_cell_length_a 12.873
_cell_length_b 4.738
_cell_length_c 14.189
_cell_angle_alpha 90.00
_cell_angle_beta 90.00
_cell_angle_gamma 90.00
loop_
_symmetry_equiv_pos_as_xyz
'x,y,z'
loop_
_atom_site_label
_atom_site_type_symbol
_atom_site_fract_x
_atom_site_fract_y
_atom_site_fract_z
Cd1 Cd 0.752 0.750 0.208
Cd2 Cd 0.252 0.750 0.292
Cd3 Cd 0.748 0.250 0.708
Cd4 Cd 0.248 0.250 0.792
Nd1 Nd 0.028 0.250 0.177
Nd2 Nd 0.528 0.250 0.323
Nd3 Nd 0.472 0.750 0.677
Nd4 Nd 0.972 0.750 0.823
Rb1 Rb 0.677 0.250 0.010
Rb2 Rb 0.177 0.250 0.490
Rb3 Rb 0.823 0.750 0.510
Rb4 Rb 0.323 0.750 0.990
Te1 Te 0.907 0.750 0.064
Te2 Te 0.537 0.750 0.168
Te3 Te 0.279 0.250 0.181
Te4 Te 0.779 0.250 0.319
Te5 Te 0.037 0.750 0.332
Te6 Te 0.407 0.750 0.436
Te7 Te 0.593 0.250 0.564
Te8 Te 0.963 0.250 0.668
Te9 Te 0.221 0.750 0.681
Te10 Te 0.721 0.750 0.819
Te11 Te 0.463 0.250 0.832
Te12 Te 0.093 0.250 0.936
# **Calculated volume**: 216 Å³/f.u.
# **Calculated total energy**: -3.7074 eV per atom
# **Crystal system**: orthorhombic